No. 1
# BP

A relaxed structure of BP (PBE, Alexandria).

The calculation puts the formation energy at 0.719 eV/atom. The calculation puts the total magnetization at 0.0 μB per formula unit. The density of states at the Fermi level comes out at 0.5 states/eV per cell. The calculation puts the total DFT energy (no corrections) at -5.325 eV per atom.

It has space group P4/mmm (No. 123), with a = 2.949 Å, b = 2.949 Å, c = 2.372 Å, α = 90.00°, β = 90.00° and γ = 90.00°. The inequivalent atoms are B at (0.000, 0.000, 0.000) and P at (0.500, 0.500, 0.000).


No. 2
# Sr2TaTl

A relaxed structure of Sr2TaTl (PBE, Alexandria).

The calculation puts the formation energy at 0.680 eV/atom. The calculation puts the total magnetization at 3.1 μB per formula unit. The density of states at the Fermi level comes out at 19.8 states/eV per cell. The calculation puts the energy above the most stable polymorph in this dataset at 152 meV per atom. The calculation puts the total DFT energy (no corrections) at -3.716 eV per atom.

It has space group Fm-3m (No. 225), with a = 7.993 Å, b = 7.993 Å, c = 7.993 Å, α = 90.00°, β = 90.00° and γ = 90.00°. The inequivalent atoms are Sr at (0.250, 0.250, 0.250), Ta at (0.000, 0.000, 0.000) and Tl at (0.000, 0.000, 0.500).


No. 3
# SbPF2

A relaxed structure of SbPF2 (PBE, Alexandria).

The calculation puts the total magnetization at 0.0 μB per formula unit. The density of states at the Fermi level comes out at 2.8 states/eV per cell. The formation energy without anion corrections comes out at -964 meV/atom. The calculation puts the energy above the most stable polymorph in this dataset at 0 meV per atom. The calculation puts the total DFT energy (no corrections) at -4.283 eV per atom.

It has space group R-3m (No. 166, hexagonal axes), with a = 3.0209 Å, b = 3.0209 Å, c = 26.5595 Å, α = 90.00°, β = 90.00° and γ = 120.00°. The inequivalent atoms are Sb at (0.0000, 0.0000, 0.0000), P at (0.0000, 0.0000, 0.5000) and F at (0.0000, 0.0000, 0.4347).


No. 4
# Sn3AsPt

A relaxed structure of Sn3AsPt (PBE, Alexandria).

The calculation puts the formation energy at 0.147 eV/atom. The calculation puts the total magnetization at 0.0 μB per formula unit. The density of states at the Fermi level comes out at 2.1 states/eV per cell. The calculation puts the energy above the most stable polymorph in this dataset at 0 meV per atom. The calculation puts the total DFT energy (no corrections) at -4.393 eV per atom.

It has space group Pm-3m (No. 221), with a = 5.202 Å, b = 5.202 Å, c = 5.202 Å, α = 90.00°, β = 90.00° and γ = 90.00°. The inequivalent atoms are Sn at (0.000, 0.000, 0.500), As at (0.500, 0.500, 0.500) and Pt at (0.000, 0.000, 0.000).